CrGa2Ni at its PBEsol-relaxed geometry, computed with meta-GGA SCAN.

Output
Calculated formation energy: -21.0 kJ/mol of atoms
DOS at the Fermi energy: 0.516 states/eV/atom
Density: 8.2 g/cm3
Magnetic moment: 0.91 μB per atom

Structure (POSCAR):
```
CrGa2Ni
1.0
0.000 2.935 2.935
2.935 0.000 2.935
2.935 2.935 0.000
Cr Ga Ni
1 2 1
direct
0.000 0.000 0.000
0.250 0.250 0.250
0.750 0.750 0.750
0.500 0.500 0.500
```